Computed, not measured: a relaxed Na3Sc2P3O12 crystal at the PBE-GGA level of DFT.

The density of states at the Fermi level is 0.00 states/eV per atom. As for the total magnetization: 0.0 μB/cell. The formation energy without anion corrections comes out at -2.65 eV per atom. The value obtained for the relative energy among the computed polymorphs is 8 kJ/mol of formula units. As for the total DFT energy (no corrections): -7.27 eV per atom.

The structure belongs to space group C2/c (No. 15); the cell edges are 15.605, 9.055 and 9.096 Å and the angles 90.00°, 125.44° and 90.00°. Symmetry generates all atoms from Na at (0.179, 0.070, 0.246), Na at (0.250, 0.250, 0.000), Sc at (0.100, 0.257, 0.555), P at (0.000, 0.045, 0.750), P at (0.153, 0.403, 0.266), O at (0.046, 0.336, 0.111), O at (0.068, 0.053, 0.420), O at (0.078, 0.141, 0.737), O at (0.161, 0.428, 0.750), O at (0.170, 0.370, 0.448) and O at (0.239, 0.328, 0.255).

Computed, not measured: a relaxed TmPuNi2P2 crystal at the PBE-GGA level of DFT.

The formation energy comes out at -1064 meV per atom. The density of states at the Fermi level is 1.76 states/eV per atom. As for the total magnetization: 5.2 μB/cell. As for the total DFT energy (no corrections): -7.93 eV per atom.

The structure belongs to space group P-3m1 (No. 164); the cell edges are 3.8877, 3.8877 and 7.6985 Å and the angles 90.00°, 90.00° and 120.00°. Symmetry generates all atoms from Tm at (0.0000, 0.0000, 0.0000), Pu at (0.0000, 0.0000, 0.5000), Ni at (0.3333, 0.6667, 0.2469) and P at (0.3333, 0.6667, 0.7566).

Computed, not measured: a relaxed Hf2OsPt crystal at the PBE-GGA level of DFT.

The formation energy comes out at -223 meV per atom. The density of states at the Fermi level is 0.20 states/eV per atom. As for the total magnetization: 0.0 μB/cell. As for the total DFT energy (no corrections): -9.52 eV per atom.

The structure belongs to space group I-42d (No. 122); the cell edges are 7.239, 7.239 and 5.864 Å and the angles 90.00°, 90.00° and 90.00°. Symmetry generates all atoms from Hf at (0.243, 0.250, 0.125), Os at (0.000, 0.000, 0.000) and Pt at (0.000, 0.000, 0.500).

Computed, not measured: a relaxed SiAuCl2 crystal at the PBE-GGA level of DFT.

The density of states at the Fermi level is 0.32 states/eV per atom. As for the total magnetization: 0.0 μB/cell. The formation energy without anion corrections comes out at -0.40 eV per atom. The value obtained for the relative energy among the computed polymorphs is 1 kJ/mol of formula units. As for the total DFT energy (no corrections): -3.49 eV per atom.

The structure belongs to space group Cm (No. 8); the cell edges are 12.248, 3.488 and 5.883 Å and the angles 90.00°, 104.61° and 90.00°. Symmetry generates all atoms from Si at (0.000, 0.000, 0.000), Au at (0.467, 0.000, 0.255), Cl at (0.166, 0.000, 0.975) and Cl at (0.428, 0.000, 0.652).